A plane-wave DFT calculation with PBE was carried out for crystalline MgTa3 at its relaxed geometry.

Results
As for the energy above the lowest structure with this stoichiometry: 0.1245 eV per atom. Its formation energy is 261 meV/atom. As for the symmetry: No. 123. The total energy comes out at -9.03 eV/atom.

The structure in POSCAR format:
```
MgTa3
1.0
4.4253 0.0000 0.0000
0.0000 4.4253 0.0000
0.0000 0.0000 3.7509
Mg Ta
1 3
direct
0.0000 0.0000 0.0000
0.5000 0.0000 0.5000
0.5000 0.5000 0.0000
0.0000 0.5000 0.5000
```